Density functional theory data (GGA-PBE) for a relaxed structure of Pm6Zn2Pd.

Its crystal system is orthorhombic. For the density of states at the Fermi level, the calculation gives 1.766 states/eV/atom. The volume comes out at 273.3 Å³/f.u.

Cell lengths 5.057, 7.133, 15.153 Å; angles 90.00, 90.00, 90.00 degrees
Space group Immm (No. 71)
Inequivalent atoms, fractional coordinates:
Pm1 0.000 0.249 0.000 [4 per cell]
Pm2 0.000 0.251 0.336 [8 per cell]
Zn1 0.000 0.500 0.167 [4 per cell]
Pd1 0.000 0.500 0.500 [2 per cell]

***

Density functional theory data (GGA-PBE) for a relaxed structure of PmZnPd6.

Its crystal system is trigonal. For the density of states at the Fermi level, the calculation gives 0.501 states/eV/atom. The volume comes out at 156.8 Å³/f.u. The energy above the most stable polymorph in this dataset comes out at 447 meV per atom.

Cell lengths 7.5676, 7.5676, 9.4816 Å; angles 90.00, 90.00, 120.00 degrees
Space group R-3m (No. 166, hexagonal axes)
Inequivalent atoms, fractional coordinates:
Pm1 0.0000 0.0000 0.0000 [3 per cell]
Zn1 0.0000 0.0000 0.5000 [3 per cell]
Pd1 0.0894 0.5447 0.3712 [18 per cell]

***

Density functional theory data (GGA-PBE) for a relaxed structure of PmZnPd.

Its crystal system is orthorhombic. For the density of states at the Fermi level, the calculation gives 0.663 states/eV/atom. The volume comes out at 62.4 Å³/f.u. The energy above the most stable polymorph in this dataset comes out at 0 meV per atom.

Cell lengths 7.046, 4.424, 8.002 Å; angles 90.00, 90.00, 90.00 degrees
Space group Pnma (No. 62)
Inequivalent atoms, fractional coordinates:
Pm1 0.026 0.250 0.195 [4 per cell]
Zn1 0.163 0.250 0.572 [4 per cell]
Pd1 0.226 0.750 0.395 [4 per cell]

***

Density functional theory data (GGA-PBE) for a relaxed structure of PmZn3Pd2.

Its crystal system is hexagonal. For the density of states at the Fermi level, the calculation gives 0.476 states/eV/atom. The volume comes out at 109.2 Å³/f.u. The energy above the most stable polymorph in this dataset comes out at 0 meV per atom.

Cell lengths 9.3729, 9.3729, 4.3041 Å; angles 90.00, 90.00, 120.00 degrees
Space group P6/mmm (No. 191)
Inequivalent atoms, fractional coordinates:
Pm1 0.0000 0.0000 0.0000 [1 per cell]
Pm2 0.3333 0.6667 0.5000 [2 per cell]
Zn1 0.0000 0.2963 0.5000 [6 per cell]
Zn2 0.0000 0.5000 0.0000 [3 per cell]
Pd1 0.1862 0.3723 0.0000 [6 per cell]

***

Density functional theory data (GGA-PBE) for a relaxed structure of Pm3ZnPd3.

Its crystal system is monoclinic. For the density of states at the Fermi level, the calculation gives 0.608 states/eV/atom. The volume comes out at 160.5 Å³/f.u. The energy above the most stable polymorph in this dataset comes out at 0 meV per atom.

Cell lengths 10.807, 4.026, 15.485 Å; angles 90.00, 107.61, 90.00 degrees
Space group C2/m (No. 12)
Inequivalent atoms, fractional coordinates:
Pm1 0.020 0.000 0.387 [4 per cell]
Pm2 0.105 0.000 0.924 [4 per cell]
Pm3 0.235 0.000 0.227 [4 per cell]
Zn1 0.230 0.500 0.386 [4 per cell]
Pd1 0.021 0.500 0.233 [4 per cell]
Pd2 0.119 0.500 0.076 [4 per cell]
Pd3 0.141 0.500 0.536 [4 per cell]

***

Density functional theory data (GGA-PBE) for a relaxed structure of Pm3Zn2Pd5.

Its crystal system is tetragonal. For the density of states at the Fermi level, the calculation gives 0.425 states/eV/atom. The volume comes out at 198.9 Å³/f.u.

Cell lengths 10.059, 10.059, 3.931 Å; angles 90.00, 90.00, 90.00 degrees
Space group P4/mbm (No. 127)
Inequivalent atoms, fractional coordinates:
Pm1 0.000 0.000 0.000 [2 per cell]
Pm2 0.177 0.323 0.000 [4 per cell]
Zn1 0.118 0.618 0.000 [4 per cell]
Pd1 0.000 0.500 0.500 [2 per cell]
Pd2 0.070 0.784 0.500 [8 per cell]

***

Density functional theory data (GGA-PBE) for a relaxed structure of Pm4Zn5Pd2.

Its crystal system is monoclinic. For the density of states at the Fermi level, the calculation gives 0.700 states/eV/atom. The volume comes out at 250.8 Å³/f.u.

Cell lengths 7.186, 3.809, 9.189 Å; angles 90.00, 94.12, 90.00 degrees
Space group P2/m (No. 10)
Inequivalent atoms, fractional coordinates:
Pm1 0.177 0.000 0.373 [2 per cell]
Pm2 0.253 0.000 0.938 [2 per cell]
Zn1 0.199 0.500 0.657 [2 per cell]
Zn2 0.447 0.500 0.204 [2 per cell]
Zn3 0.500 0.500 0.500 [1 per cell]
Pd1 0.070 0.500 0.144 [2 per cell]

***

Density functional theory data (GGA-PBE) for a relaxed structure of PmZn2Pd.

Its crystal system is tetragonal. For the density of states at the Fermi level, the calculation gives 0.799 states/eV/atom. The volume comes out at 80.3 Å³/f.u. The energy above the most stable polymorph in this dataset comes out at 237 meV per atom.

Cell lengths 4.106, 4.106, 4.762 Å; angles 90.00, 90.00, 90.00 degrees
Space group P4/mmm (No. 123)
Inequivalent atoms, fractional coordinates:
Pm1 0.000 0.000 0.000 [1 per cell]
Zn1 0.000 0.500 0.500 [2 per cell]
Pd1 0.500 0.500 0.000 [1 per cell]

***

Density functional theory data (GGA-PBE) for a relaxed structure of Pm4Zn5Pd3.

Its crystal system is monoclinic. For the density of states at the Fermi level, the calculation gives 0.526 states/eV/atom. The volume comes out at 277.1 Å³/f.u.

Cell lengths 12.878, 4.618, 10.101 Å; angles 90.00, 112.72, 90.00 degrees
Space group C2/m (No. 12)
Inequivalent atoms, fractional coordinates:
Pm1 0.049 0.000 0.313 [4 per cell]
Pm2 0.250 0.000 0.848 [4 per cell]
Zn1 0.000 0.500 0.000 [2 per cell]
Zn2 0.115 0.500 0.592 [4 per cell]
Zn3 0.226 0.500 0.430 [4 per cell]
Pd1 0.000 0.000 0.000 [2 per cell]
Pd2 0.102 0.500 0.839 [4 per cell]

***

Density functional theory data (GGA-PBE) for a relaxed structure of Pm4Zn2Pd.

Its crystal system is trigonal. For the density of states at the Fermi level, the calculation gives 1.182 states/eV/atom. The volume comes out at 188.2 Å³/f.u.

Cell lengths 5.1155, 5.1155, 24.9118 Å; angles 90.00, 90.00, 120.00 degrees
Space group R-3m (No. 166, hexagonal axes)
Inequivalent atoms, fractional coordinates:
Pm1 0.0000 0.0000 0.1241 [6 per cell]
Pm2 0.0000 0.0000 0.3748 [6 per cell]
Zn1 0.0000 0.0000 0.2522 [6 per cell]
Pd1 0.0000 0.0000 0.5000 [3 per cell]

***

Density functional theory data (GGA-PBE) for a relaxed structure of Pm2ZnPd2.

Its crystal system is orthorhombic. For the density of states at the Fermi level, the calculation gives 0.642 states/eV/atom. The volume comes out at 110.1 Å³/f.u. The energy above the most stable polymorph in this dataset comes out at 0 meV per atom.

Cell lengths 4.499, 5.739, 8.532 Å; angles 90.00, 90.00, 90.00 degrees
Space group Immm (No. 71)
Inequivalent atoms, fractional coordinates:
Pm1 0.000 0.000 0.199 [4 per cell]
Zn1 0.000 0.500 0.000 [2 per cell]
Pd1 0.000 0.260 0.500 [4 per cell]

***

Density functional theory data (GGA-PBE) for a relaxed structure of Pm2Zn3Pd.

Its crystal system is orthorhombic. For the density of states at the Fermi level, the calculation gives 0.730 states/eV/atom. The volume comes out at 128.0 Å³/f.u. The energy above the most stable polymorph in this dataset comes out at 4 meV per atom.

Cell lengths 7.191, 9.008, 15.810 Å; angles 90.00, 90.00, 90.00 degrees
Space group Fmmm (No. 69)
Inequivalent atoms, fractional coordinates:
Pm1 0.242 0.000 0.000 [8 per cell]
Pm2 0.250 0.250 0.250 [8 per cell]
Zn1 0.000 0.000 0.335 [8 per cell]
Zn2 0.000 0.249 0.418 [16 per cell]
Pd1 0.000 0.000 0.169 [8 per cell]

***

Density functional theory data (GGA-PBE) for a relaxed structure of PmZn10Pd2.

Its crystal system is orthorhombic. For the density of states at the Fermi level, the calculation gives 0.445 states/eV/atom. The volume comes out at 213.3 Å³/f.u.

Cell lengths 5.451, 12.333, 12.689 Å; angles 90.00, 90.00, 90.00 degrees
Space group Fmmm (No. 69)
Inequivalent atoms, fractional coordinates:
Pm1 0.000 0.000 0.000 [4 per cell]
Zn1 0.000 0.109 0.391 [16 per cell]
Zn2 0.000 0.173 0.178 [16 per cell]
Zn3 0.250 0.250 0.000 [8 per cell]
Pd1 0.250 0.000 0.250 [8 per cell]

***

Density functional theory data (GGA-PBE) for a relaxed structure of PmZn2Pd.

Its crystal system is trigonal. For the density of states at the Fermi level, the calculation gives 0.724 states/eV/atom. The volume comes out at 80.6 Å³/f.u. The energy above the most stable polymorph in this dataset comes out at 101 meV per atom.

Cell lengths 4.3516, 4.3516, 14.7502 Å; angles 90.00, 90.00, 120.00 degrees
Space group R-3m (No. 166, hexagonal axes)
Inequivalent atoms, fractional coordinates:
Pm1 0.0000 0.0000 0.0000 [3 per cell]
Zn1 0.0000 0.0000 0.2131 [6 per cell]
Pd1 0.0000 0.0000 0.5000 [3 per cell]

***

Density functional theory data (GGA-PBE) for a relaxed structure of Pm2Zn3Pd4.

Its crystal system is orthorhombic. For the density of states at the Fermi level, the calculation gives 0.462 states/eV/atom. The volume comes out at 167.5 Å³/f.u.

Cell lengths 5.654, 15.488, 7.652 Å; angles 90.00, 90.00, 90.00 degrees
Space group Cmce (No. 64)
Inequivalent atoms, fractional coordinates:
Pm1 0.000 0.114 0.079 [8 per cell]
Zn1 0.000 0.000 0.500 [4 per cell]
Zn2 0.250 0.227 0.750 [8 per cell]
Pd1 0.000 0.177 0.478 [8 per cell]
Pd2 0.250 0.059 0.750 [8 per cell]

***

Density functional theory data (GGA-PBE) for a relaxed structure of Pm4Zn3Pd.

Its crystal system is tetragonal. For the density of states at the Fermi level, the calculation gives 0.905 states/eV/atom. The volume comes out at 193.8 Å³/f.u. The energy above the most stable polymorph in this dataset comes out at 0 meV per atom.

Cell lengths 3.672, 3.672, 14.376 Å; angles 90.00, 90.00, 90.00 degrees
Space group P4/mmm (No. 123)
Inequivalent atoms, fractional coordinates:
Pm1 0.000 0.000 0.120 [2 per cell]
Pm2 0.000 0.000 0.374 [2 per cell]
Zn1 0.500 0.500 0.250 [2 per cell]
Zn2 0.500 0.500 0.500 [1 per cell]
Pd1 0.500 0.500 0.000 [1 per cell]

***

Density functional theory data (GGA-PBE) for a relaxed structure of Pm3Zn8Pd3.

Its crystal system is orthorhombic. For the density of states at the Fermi level, the calculation gives 0.641 states/eV/atom. The volume comes out at 262.3 Å³/f.u.

Cell lengths 4.263, 9.384, 13.112 Å; angles 90.00, 90.00, 90.00 degrees
Space group Immm (No. 71)
Inequivalent atoms, fractional coordinates:
Pm1 0.000 0.000 0.000 [2 per cell]
Pm2 0.000 0.000 0.324 [4 per cell]
Zn1 0.000 0.276 0.125 [8 per cell]
Zn2 0.000 0.362 0.322 [8 per cell]
Pd1 0.000 0.230 0.500 [4 per cell]
Pd2 0.000 0.500 0.000 [2 per cell]

***

Density functional theory data (GGA-PBE) for a relaxed structure of Pm3Zn3Pd2.

Its crystal system is orthorhombic. For the density of states at the Fermi level, the calculation gives 0.758 states/eV/atom. The volume comes out at 177.5 Å³/f.u. The energy above the most stable polymorph in this dataset comes out at 16 meV per atom.

Cell lengths 7.866, 16.128, 5.595 Å; angles 90.00, 90.00, 90.00 degrees
Space group Pnma (No. 62)
Inequivalent atoms, fractional coordinates:
Pm1 0.040 0.105 0.122 [8 per cell]
Pm2 0.166 0.250 0.630 [4 per cell]
Zn1 0.178 0.750 0.632 [4 per cell]
Zn2 0.180 0.033 0.600 [8 per cell]
Pd1 0.110 0.614 0.375 [8 per cell]

***

Density functional theory data (GGA-PBE) for a relaxed structure of PmZn5Pd2.

Its crystal system is orthorhombic. For the density of states at the Fermi level, the calculation gives 0.504 states/eV/atom. The volume comes out at 143.2 Å³/f.u.

Cell lengths 3.836, 7.455, 10.017 Å; angles 90.00, 90.00, 90.00 degrees
Space group Immm (No. 71)
Inequivalent atoms, fractional coordinates:
Pm1 0.000 0.000 0.000 [2 per cell]
Zn1 0.000 0.189 0.360 [8 per cell]
Zn2 0.000 0.500 0.000 [2 per cell]
Pd1 0.000 0.500 0.256 [4 per cell]

***

Density functional theory data (GGA-PBE) for a relaxed structure of Pm3Zn3Pd2.

Its crystal system is orthorhombic. For the density of states at the Fermi level, the calculation gives 0.610 states/eV/atom. The volume comes out at 175.9 Å³/f.u. The energy above the most stable polymorph in this dataset comes out at 0 meV per atom.

Cell lengths 4.491, 10.335, 15.157 Å; angles 90.00, 90.00, 90.00 degrees
Space group Cmcm (No. 63)
Inequivalent atoms, fractional coordinates:
Pm1 0.000 0.087 0.104 [8 per cell]
Pm2 0.000 0.364 0.250 [4 per cell]
Zn1 0.000 0.345 0.750 [4 per cell]
Zn2 0.000 0.382 0.038 [8 per cell]
Pd1 0.000 0.204 0.605 [8 per cell]

***

Number 1: ΔH_f (0 K) -87 kJ/mol of formula units, E -4.13 eV/atom. Number 2: ΔH_f (0 K) -64 kJ/mol of formula units, E -4.73 eV/atom. Number 3: ΔH_f (0 K) -204 kJ/mol of formula units, E -4.45 eV/atom. Number 4: ΔH_f (0 K) -343 kJ/mol of formula units, E -3.75 eV/atom. Number 5: ΔH_f (0 K) -498 kJ/mol of formula units, E -5.18 eV/atom. Number 6: ΔH_f (0 K) -695 kJ/mol of formula units, E -5.00 eV/atom. Number 7: ΔH_f (0 K) -474 kJ/mol of formula units, E -3.70 eV/atom. Number 8: ΔH_f (0 K) -131 kJ/mol of formula units, E -3.46 eV/atom. Number 9: ΔH_f (0 K) -415 kJ/mol of formula units, E -3.77 eV/atom. Number 10: ΔH_f (0 K) -192 kJ/mol of formula units, E -4.10 eV/atom. Number 11: ΔH_f (0 K) -349 kJ/mol of formula units, E -4.95 eV/atom. Number 12: ΔH_f (0 K) -293 kJ/mol of formula units, E -3.59 eV/atom. Number 13: ΔH_f (0 K) -376 kJ/mol of formula units, E -2.44 eV/atom. Number 14: ΔH_f (0 K) -184 kJ/mol of formula units, E -3.60 eV/atom. Number 15: ΔH_f (0 K) -608 kJ/mol of formula units, E -4.49 eV/atom. Number 16: ΔH_f (0 K) -337 kJ/mol of formula units, E -3.94 eV/atom. Number 17: ΔH_f (0 K) -683 kJ/mol of formula units, E -3.36 eV/atom. Number 18: ΔH_f (0 K) -442 kJ/mol of formula units, E -4.13 eV/atom. Number 19: ΔH_f (0 K) -326 kJ/mol of formula units, E -3.11 eV/atom. Number 20: ΔH_f (0 K) -454 kJ/mol of formula units, E -4.15 eV/atom.